First-principles (GGA-PBE) data for an optimized crystal structure of K2Si2Ge, as listed in Alexandria via LeMat-Bulk.

Output
The value obtained for the mass density is 2.67 g cm⁻³. As for the formation energy from raw total energies: 0.1631 eV per atom. Its size of the total moment is 0.00 μB per atom. The total energy is -16.8 eV per formula unit.

a = 6.793 Å, b = 6.793 Å, c = 5.583 Å
α = 90.00°, β = 90.00°, γ = 90.00°
Space group P4/mbm (No. 127)
Inequivalent atoms, fractional coordinates:
K  0.184  0.316  0.000 (multiplicity 4)
Si  0.123  0.623  0.500 (multiplicity 4)
Ge  0.000  0.000  0.500 (multiplicity 2)